# 1
Density functional theory data (PBE-GGA) for an optimized crystal structure of AcNd5Ho4.

Cell: 3.676 3.676 25.448 Å, 90.00 90.00 90.00°
Fractional coordinates of all 10 atoms:
Ac (0.000, 0.000, 0.000)
Nd (0.500, 0.500, 0.110)
Nd (0.500, 0.500, 0.305)
Nd (0.500, 0.500, 0.500)
Nd (0.500, 0.500, 0.695)
Nd (0.500, 0.500, 0.890)
Ho (0.000, 0.000, 0.208)
Ho (0.000, 0.000, 0.402)
Ho (0.000, 0.000, 0.598)
Ho (0.000, 0.000, 0.792)

Results
The calculation puts the total magnetization at 0.00 μB per atom. Its formation energy is 0.03 eV per atom.

# 2
Density functional theory data (PBE-GGA) for an optimized crystal structure of Ga3B.

Cell: 6.983 6.983 3.191 Å, 90.00 90.00 120.00°
Fractional coordinates of all 8 atoms:
Ga (0.196, 0.392, 0.250)
Ga (0.196, 0.804, 0.250)
Ga (0.392, 0.196, 0.750)
Ga (0.608, 0.804, 0.250)
Ga (0.804, 0.196, 0.750)
Ga (0.804, 0.608, 0.750)
B (0.333, 0.667, 0.750)
B (0.667, 0.333, 0.250)

Results
The energy above the most stable polymorph in this dataset is 0.0000 eV/atom. The calculation puts the total magnetization at 0.00 μB per atom. Its formation energy is 0.51 eV per atom.

# 3
Density functional theory data (PBE-GGA) for an optimized crystal structure of SrHfTe2N.

Cell: 5.823 5.823 4.080 Å, 90.00 90.00 90.00°
Fractional coordinates of all 5 atoms:
Sr (0.000, 0.000, 0.000)
Hf (0.500, 0.500, 0.500)
Te (0.000, 0.500, 0.500)
Te (0.500, 0.000, 0.500)
N (0.500, 0.500, 0.000)

Results
The energy above the most stable polymorph in this dataset is 0.0000 eV/atom. The calculation puts the formation energy (no corrections) at -0.79 eV/atom. The calculation puts the total magnetization at 0.10 μB per atom.

# 4
Density functional theory data (PBE-GGA) for an optimized crystal structure of K4ZnP2.

Cell: 6.263 11.584 8.565 Å, 90.00 111.06 90.00°
Fractional coordinates of all 14 atoms:
K (0.029, 0.000, 0.118)
K (0.038, 0.564, 0.368)
K (0.447, 0.333, 0.657)
K (0.465, 0.715, 0.813)
K (0.535, 0.215, 0.187)
K (0.553, 0.833, 0.343)
K (0.962, 0.064, 0.632)
K (0.971, 0.500, 0.882)
Zn (0.483, 0.019, 0.747)
Zn (0.517, 0.519, 0.253)
P (0.405, 0.078, 0.484)
P (0.472, 0.966, 0.993)
P (0.528, 0.466, 0.007)
P (0.595, 0.578, 0.516)

Results
The energy above the most stable polymorph in this dataset is 0.0962 eV/atom. The calculation puts the total magnetization at 0.00 μB per atom. Its formation energy is -0.31 eV per atom.